Here is MnInTe4 after structural relaxation from Alexandria via LeMat-Bulk. Energies are from PBE.

## Properties
E_form (uncorrected) (kJ/mol of atoms): 48.8
Space-group type: F-43m, No. 216
Total energy (eV for the cell shown): -21.439

Geometry as POSCAR:
```
MnInTe4
1.0
0.000 4.549 4.549
4.549 0.000 4.549
4.549 4.549 0.000
Mn In Te
1 1 4
direct
0.000 0.000 0.000
0.250 0.250 0.250
0.123 0.626 0.626
0.626 0.123 0.626
0.626 0.626 0.123
0.626 0.626 0.626
```


Here is Co3Ni2 after structural relaxation from Alexandria via LeMat-Bulk. Energies are from PBE.

## Properties
Energy relative to the lowest polymorph listed for this composition (eV per atom): 0.394
DFT formation energy (eV per formula unit): 1.98
Space-group type: P-3m1, No. 164
Total energy (eV for the cell shown): -30.900

Geometry as POSCAR:
```
Co3Ni2
1.0
3.847 0.000 0.000
-1.924 3.332 0.000
0.000 0.000 4.805
Co Ni
3 2
direct
0.000 0.000 0.000
0.333 0.667 0.377
0.667 0.333 0.623
0.333 0.667 0.866
0.667 0.333 0.134
```


Here is TaCuSi after structural relaxation from Alexandria via LeMat-Bulk. Energies are from PBE.

## Properties
E_form (uncorrected) (kJ/mol of atoms): -20.5
Space-group type: C2/m, No. 12
Total energy (eV for the cell shown): -44.016

Geometry as POSCAR:
```
TaCuSi
1.0
7.003 -1.407 0.000
7.003 1.407 0.000
-0.510 0.000 4.388
Ta Cu Si
2 2 2
direct
0.179 0.179 0.221
0.821 0.821 0.779
0.000 0.000 0.500
0.500 0.500 0.000
0.365 0.365 0.300
0.635 0.635 0.700
```


Here is TlCd2Pd5Pt after structural relaxation from Alexandria via LeMat-Bulk. Energies are from PBE.

## Properties
DFT formation energy (eV per formula unit): 0.80
Space-group type: I4/mcm, No. 140
Total energy (eV for the cell shown): -70.803

Geometry as POSCAR:
```
TlCd2Pd5Pt
1.0
-3.370 3.370 7.531
3.370 -3.370 7.531
3.370 3.370 -7.531
Tl Cd Pd Pt
2 4 10 2
direct
0.250 0.750 0.500
0.750 0.250 0.500
0.137 0.637 0.774
0.363 0.137 0.500
0.637 0.863 0.500
0.863 0.363 0.226
0.000 0.000 0.000
0.084 0.109 0.500
0.109 0.609 0.025
0.391 0.416 0.500
0.416 0.916 0.025
0.500 0.500 0.000
0.584 0.084 0.975
0.609 0.584 0.500
0.891 0.391 0.975
0.916 0.891 0.500
0.250 0.250 0.000
0.750 0.750 0.000
```


Here is RbU2AgO8 after structural relaxation from Alexandria via LeMat-Bulk. Energies are from PBE.

## Properties
E_form (uncorrected) (kJ/mol of atoms): -203.4
Space-group type: P-3, No. 147
Total energy (eV for the cell shown): -91.353

Geometry as POSCAR:
```
RbU2AgO8
1.0
5.997 0.000 0.000
-2.998 5.194 0.000
0.000 0.000 7.102
Rb U Ag O
1 2 1 8
direct
0.000 0.000 0.000
0.333 0.667 0.428
0.667 0.333 0.572
0.000 0.000 0.500
0.060 0.373 0.622
0.313 0.940 0.622
0.333 0.667 0.165
0.373 0.313 0.378
0.627 0.687 0.622
0.667 0.333 0.835
0.687 0.060 0.378
0.940 0.627 0.378
```


Here is Cs3HN after structural relaxation from Alexandria via LeMat-Bulk. Energies are from PBE.

## Properties
Energy relative to the lowest polymorph listed for this composition (eV per atom): 0.000
Space-group type: Pm-3m, No. 221
Total energy (eV for the cell shown): -11.886

Geometry as POSCAR:
```
Cs3HN
1.0
5.927 0.000 0.000
0.000 5.927 0.000
0.000 0.000 5.927
Cs H N
3 1 1
direct
0.000 0.000 0.500
0.000 0.500 0.000
0.500 0.000 0.000
0.500 0.500 0.500
0.000 0.000 0.000
```


Here is TlH3Se after structural relaxation from Alexandria via LeMat-Bulk. Energies are from PBE.

## Properties
Energy relative to the lowest polymorph listed for this composition (eV per atom): 0.000
Space-group type: P2_1/c, No. 14
Total energy (eV for the cell shown): -66.236

Geometry as POSCAR:
```
TlH3Se
1.0
7.003 0.000 0.000
0.000 8.691 0.000
-2.846 0.000 8.027
Tl H Se
4 12 4
direct
0.236 0.119 0.018
0.236 0.381 0.518
0.764 0.619 0.482
0.764 0.881 0.982
0.086 0.008 0.398
0.086 0.492 0.898
0.170 0.527 0.873
0.170 0.973 0.373
0.387 0.727 0.101
0.387 0.773 0.601
0.613 0.227 0.399
0.613 0.273 0.899
0.830 0.027 0.627
0.830 0.473 0.127
0.914 0.508 0.102
0.914 0.992 0.602
0.498 0.151 0.784
0.498 0.349 0.284
0.502 0.651 0.716
0.502 0.849 0.216
```


Here is Nd6ErTm3 after structural relaxation from Alexandria via LeMat-Bulk. Energies are from PBE.

## Properties
DFT formation energy (eV per formula unit): 1.28
Space-group type: Cmc2_1, No. 36
Total energy (eV for the cell shown): -90.604

Geometry as POSCAR:
```
Nd6ErTm3
1.0
4.900 -10.669 0.000
4.900 10.669 0.000
0.000 0.000 6.417
Nd Er Tm
12 2 6
direct
0.016 0.984 0.500
0.105 0.545 0.009
0.260 0.380 0.259
0.300 0.700 0.485
0.380 0.260 0.759
0.455 0.895 0.009
0.545 0.105 0.509
0.620 0.740 0.259
0.700 0.300 0.985
0.740 0.620 0.759
0.895 0.455 0.509
0.984 0.016 0.000
0.157 0.843 0.704
0.843 0.157 0.204
0.043 0.292 0.680
0.292 0.043 0.180
0.420 0.580 0.779
0.580 0.420 0.279
0.708 0.957 0.680
0.957 0.708 0.180
```